Entry 1:
This record from Alexandria describes NdSCl after structural relaxation. The functional is GGA-PBE.

The space group is F-43m (No. 216) and the conventional cell measures 6.7724, 6.7724 and 6.7724 Å, with angles of 90.00, 90.00 and 90.00 degrees. The asymmetric unit holds Nd at (0.0000, 0.0000, 0.0000), S at (0.2500, 0.2500, 0.7500) and Cl at (0.2500, 0.2500, 0.2500).

The calculation puts the theoretical density at 4.5 g/cm3. The calculation puts the raw formation energy at -2.08 eV per atom. The calculation puts the volume at 310.6 Å³/cell. The energy is -5.66 eV/atom.

Entry 2:
This record from Alexandria describes K2SrSe2O6 after structural relaxation. The functional is GGA-PBE.

The space group is C2/m (No. 12) and the conventional cell measures 9.6159, 6.1329 and 7.6065 Å, with angles of 90.00, 114.05 and 90.00 degrees. The asymmetric unit holds K at (0.1980, 0.0000, 0.1489), Sr at (0.0000, 0.0000, 0.5000), Se at (0.0767, 0.5000, 0.2348), O at (0.0359, 0.2754, 0.7704) and O at (0.2215, 0.5000, 0.4585).

The calculation puts the theoretical density at 3.4 g/cm3. The calculation puts the raw formation energy at -1.63 eV per atom. The calculation puts the volume at 409.7 Å³/cell. The energy is -5.32 eV/atom.

Entry 3:
This record from Alexandria describes SmHoLuZn after structural relaxation. The functional is GGA-PBE.

The space group is F-43m (No. 216) and the conventional cell measures 7.5228, 7.5228 and 7.5228 Å, with angles of 90.00, 90.00 and 90.00 degrees. The asymmetric unit holds Sm at (0.0000, 0.0000, 0.0000), Ho at (0.0000, 0.0000, 0.5000), Lu at (0.2500, 0.2500, 0.2500) and Zn at (0.2500, 0.2500, 0.7500).

The calculation puts the theoretical density at 8.7 g/cm3. As for the formation energy: 0.019 eV/atom. The calculation puts the volume at 425.7 Å³/cell. The energy is -3.75 eV/atom.

Entry 4:
This record from Alexandria describes Ho2Sc3Cd4 after structural relaxation. The functional is GGA-PBE.

The space group is Cmce (No. 64) and the conventional cell measures 6.4659, 17.5380 and 7.9339 Å, with angles of 90.00, 90.00 and 90.00 degrees. The asymmetric unit holds Ho at (0.0000, 0.0955, 0.1029), Sc at (0.0000, 0.0000, 0.5000), Sc at (0.2500, 0.2433, 0.7500), Cd at (0.0000, 0.1651, 0.4823) and Cd at (0.2500, 0.0717, 0.7500).

The calculation puts the theoretical density at 6.8 g/cm3. As for the formation energy: -0.154 eV/atom. The calculation puts the volume at 899.7 Å³/cell. The energy is -3.69 eV/atom.

Entry 5:
This record from Alexandria describes NbCr3As after structural relaxation. The functional is GGA-PBE.

The space group is Pm-3m (No. 221) and the conventional cell measures 4.4095, 4.4095 and 4.4095 Å, with angles of 90.00, 90.00 and 90.00 degrees. The asymmetric unit holds Nb at (0.0000, 0.0000, 0.0000), Cr at (0.0000, 0.5000, 0.5000) and As at (0.5000, 0.5000, 0.5000).

The calculation puts the theoretical density at 6.3 g/cm3. As for the formation energy: 0.892 eV/atom. The calculation puts the volume at 85.7 Å³/cell. The energy is -7.83 eV/atom.

Entry 6:
This record from Alexandria describes La4AsOsI2 after structural relaxation. The functional is GGA-PBE.

The space group is P2/m (No. 10) and the conventional cell measures 7.7128, 4.3016 and 8.3308 Å, with angles of 90.00, 106.05 and 90.00 degrees. The asymmetric unit holds La at (0.2153, 0.0000, 0.1905), La at (0.2449, 0.5000, 0.8118), As at (0.5000, 0.0000, 0.0000), Os at (0.0000, 0.5000, 0.0000), I at (0.0000, 0.0000, 0.5000) and I at (0.5000, 0.5000, 0.5000).

The calculation puts the theoretical density at 6.7 g/cm3. The calculation puts the raw formation energy at -1.05 eV per atom. The calculation puts the volume at 265.6 Å³/cell. The energy is -5.89 eV/atom.

Entry 7:
This record from Alexandria describes HgPt2CO after structural relaxation. The functional is GGA-PBE.

The space group is P4/mmm (No. 123) and the conventional cell measures 4.3676, 4.3676 and 3.8517 Å, with angles of 90.00, 90.00 and 90.00 degrees. The asymmetric unit holds Hg at (0.0000, 0.0000, 0.0000), Pt at (0.0000, 0.5000, 0.5000), C at (0.5000, 0.5000, 0.0000) and O at (0.5000, 0.5000, 0.5000).

The calculation puts the theoretical density at 14.0 g/cm3. The calculation puts the raw formation energy at 1.39 eV per atom. The calculation puts the volume at 73.5 Å³/cell. The energy is -3.92 eV/atom.

Entry 8:
This record from Alexandria describes CaDyGaPt after structural relaxation. The functional is GGA-PBE.

The space group is Amm2 (No. 38) and the conventional cell measures 4.1570, 3.9896 and 11.4632 Å, with angles of 90.00, 90.00 and 90.00 degrees. The asymmetric unit holds Ca at (0.0000, 0.0000, 0.0000), Dy at (0.5000, 0.0000, 0.7084), Ga at (0.5000, 0.0000, 0.4171) and Pt at (0.0000, 0.0000, 0.2703).

The calculation puts the theoretical density at 8.2 g/cm3. As for the formation energy: -0.826 eV/atom. The calculation puts the volume at 190.1 Å³/cell. The energy is -4.74 eV/atom.

Entry 9:
This record from Alexandria describes LiTlFe2 after structural relaxation. The functional is GGA-PBE.

The space group is C2/m (No. 12) and the conventional cell measures 5.1978, 9.5218 and 2.9008 Å, with angles of 90.00, 120.99 and 90.00 degrees. The asymmetric unit holds Li at (0.0000, 0.0000, 0.0000), Tl at (0.0000, 0.5000, 0.0000) and Fe at (0.2500, 0.2500, 0.5000).

The calculation puts the theoretical density at 8.7 g/cm3. As for the formation energy: 0.416 eV/atom. The calculation puts the volume at 123.1 Å³/cell. The energy is -4.89 eV/atom.

Entry 10:
This record from Alexandria describes VTcPd2 after structural relaxation. The functional is GGA-PBE.

The space group is R-3m (No. 166, hexagonal axes) and the conventional cell measures 2.7067, 2.7067 and 28.8503 Å, with angles of 90.00, 90.00 and 120.00 degrees. The asymmetric unit holds V at (0.0000, 0.0000, 0.0000), Tc at (0.0000, 0.0000, 0.5000) and Pd at (0.0000, 0.0000, 0.4084).

The calculation puts the theoretical density at 9.8 g/cm3. As for the formation energy: 0.250 eV/atom. The calculation puts the volume at 183.0 Å³/cell. The energy is -7.22 eV/atom.

Entry 11:
This record from Alexandria describes AsN after structural relaxation. The functional is GGA-PBE.

The space group is Amm2 (No. 38) and the conventional cell measures 2.9747, 8.3507 and 7.3277 Å, with angles of 90.00, 90.00 and 90.00 degrees. The asymmetric unit holds As at (0.0000, 0.0000, 0.0000), As at (0.5000, 0.2270, 0.6814), N at (0.0000, 0.2118, 0.5200) and N at (0.5000, 0.0000, 0.8071).

The calculation puts the theoretical density at 4.9 g/cm3. The calculation puts the raw formation energy at 0.74 eV per atom. The calculation puts the volume at 182.0 Å³/cell. The energy is -5.75 eV/atom.

Entry 12:
This record from Alexandria describes KMgInPb after structural relaxation. The functional is GGA-PBE.

The space group is F-43m (No. 216) and the conventional cell measures 7.7828, 7.7828 and 7.7828 Å, with angles of 90.00, 90.00 and 90.00 degrees. The asymmetric unit holds K at (0.0000, 0.0000, 0.0000), Mg at (0.0000, 0.0000, 0.5000), In at (0.2500, 0.2500, 0.7500) and Pb at (0.2500, 0.2500, 0.2500).

The calculation puts the theoretical density at 5.4 g/cm3. As for the formation energy: -0.022 eV/atom. The calculation puts the volume at 471.4 Å³/cell. The energy is -2.31 eV/atom.

Entry 13:
This record from Alexandria describes KSc2Tl after structural relaxation. The functional is GGA-PBE.

The space group is Fm-3m (No. 225) and the conventional cell measures 7.5047, 7.5047 and 7.5047 Å, with angles of 90.00, 90.00 and 90.00 degrees. The asymmetric unit holds K at (0.0000, 0.0000, 0.0000), Sc at (0.2500, 0.2500, 0.2500) and Tl at (0.0000, 0.0000, 0.5000).

The calculation puts the theoretical density at 5.2 g/cm3. As for the formation energy: 0.329 eV/atom. The calculation puts the volume at 422.7 Å³/cell. The energy is -3.70 eV/atom.

Entry 14:
This record from Alexandria describes LiTm6As2Se3 after structural relaxation. The functional is GGA-PBE.

The space group is C2/m (No. 12) and the conventional cell measures 17.7558, 4.0300 and 8.1476 Å, with angles of 90.00, 104.72 and 90.00 degrees. The asymmetric unit holds Li at (0.0000, 0.0000, 0.0000), Tm at (0.0005, 0.5000, 0.7423), Tm at (0.1687, 0.0000, 0.0881), Tm at (0.1710, 0.0000, 0.5743), As at (0.1642, 0.5000, 0.3291), Se at (0.0000, 0.0000, 0.5000) and Se at (0.1688, 0.5000, 0.8303).

The calculation puts the theoretical density at 8.3 g/cm3. The calculation puts the raw formation energy at -1.29 eV per atom. The calculation puts the volume at 563.9 Å³/cell. The energy is -5.33 eV/atom.

Entry 15:
This record from Alexandria describes ZnCd2Cu after structural relaxation. The functional is GGA-PBE.

The space group is F-43m (No. 216) and the conventional cell measures 6.5279, 6.5279 and 6.5279 Å, with angles of 90.00, 90.00 and 90.00 degrees. The asymmetric unit holds Zn at (0.0000, 0.0000, 0.0000), Cd at (0.0000, 0.0000, 0.5000), Cd at (0.2500, 0.2500, 0.2500) and Cu at (0.2500, 0.2500, 0.7500).

The calculation puts the theoretical density at 8.4 g/cm3. As for the formation energy: 0.146 eV/atom. The calculation puts the volume at 278.2 Å³/cell. The energy is -1.65 eV/atom.

Entry 16:
This record from Alexandria describes TaSbW2 after structural relaxation. The functional is GGA-PBE.

The space group is Cmmm (No. 65) and the conventional cell measures 3.3974, 4.8401 and 8.8239 Å, with angles of 90.00, 90.00 and 90.00 degrees. The asymmetric unit holds Ta at (0.0000, 0.0000, 0.0000), Sb at (0.0000, 0.0000, 0.5000) and W at (0.0000, 0.5000, 0.2432).

The calculation puts the theoretical density at 15.3 g/cm3. The calculation puts the raw formation energy at 0.45 eV per atom. The calculation puts the volume at 145.1 Å³/cell. The energy is -10.02 eV/atom.

Entry 17:
This record from Alexandria describes YAlW after structural relaxation. The functional is GGA-PBE.

The space group is P-6m2 (No. 187) and the conventional cell measures 4.7564, 4.7564 and 3.1154 Å, with angles of 90.00, 90.00 and 120.00 degrees. The asymmetric unit holds Y at (0.0000, 0.0000, 0.0000), Al at (0.6667, 0.3333, 0.5000) and W at (0.3333, 0.6667, 0.5000).

The calculation puts the theoretical density at 8.2 g/cm3. As for the formation energy: 0.301 eV/atom. The calculation puts the volume at 61.0 Å³/cell. The energy is -7.42 eV/atom.

Entry 18:
This record from Alexandria describes Na8VSe6 after structural relaxation. The functional is GGA-PBE.

The space group is Pmn2_1 (No. 31) and the conventional cell measures 8.2927, 8.5361 and 11.7754 Å, with angles of 90.00, 90.00 and 90.00 degrees. The asymmetric unit holds Na at (0.0000, 0.1349, 0.0000), Na at (0.0000, 0.2342, 0.4553), Na at (0.1804, 0.6195, 0.1174), Na at (0.1965, 0.5806, 0.8108), Na at (0.2379, 0.9447, 0.7621), V at (0.0000, 0.7377, 0.4672), Se at (0.0000, 0.2930, 0.2194), Se at (0.0000, 0.5136, 0.5922), Se at (0.0000, 0.7869, 0.9449), Se at (0.0000, 0.9600, 0.5830) and Se at (0.2330, 0.7424, 0.3518).

The calculation puts the theoretical density at 2.8 g/cm3. The calculation puts the raw formation energy at -0.92 eV per atom. The calculation puts the volume at 833.6 Å³/cell. The energy is -3.62 eV/atom.

Entry 19:
This record from Alexandria describes Y4Sb2PS after structural relaxation. The functional is GGA-PBE.

The space group is P2/m (No. 10) and the conventional cell measures 7.2030, 4.1625 and 7.2965 Å, with angles of 90.00, 109.15 and 90.00 degrees. The asymmetric unit holds Y at (0.2386, 0.0000, 0.2260), Y at (0.2533, 0.5000, 0.7717), Sb at (0.0000, 0.0000, 0.5000), Sb at (0.5000, 0.5000, 0.5000), P at (0.0000, 0.5000, 0.0000) and S at (0.5000, 0.0000, 0.0000).

The calculation puts the theoretical density at 5.3 g/cm3. The calculation puts the raw formation energy at -1.47 eV per atom. The calculation puts the volume at 206.7 Å³/cell. The energy is -6.93 eV/atom.

Entry 20:
This record from Alexandria describes CsTiBiSe4 after structural relaxation. The functional is GGA-PBE.

The space group is P2_1/m (No. 11) and the conventional cell measures 6.9223, 7.4184 and 9.9567 Å, with angles of 90.00, 108.93 and 90.00 degrees. The asymmetric unit holds Cs at (0.2361, 0.2500, 0.4365), Ti at (0.2783, 0.7500, 0.1651), Bi at (0.2699, 0.2500, 0.9351), Se at (0.0536, 0.7500, 0.9305), Se at (0.0795, 0.7500, 0.3238) and Se at (0.4868, 0.5012, 0.8026).

The calculation puts the theoretical density at 4.8 g/cm3. The calculation puts the raw formation energy at -0.89 eV per atom. The calculation puts the volume at 483.6 Å³/cell. The energy is -4.69 eV/atom.